1.
VASP calculation (PBE-GGA) on crystalline LaPmTm4 at its relaxed geometry.

Unit cell a=6.4418 b=9.1028 c=8.5803 alpha=112.46 beta=99.54 gamma=113.28
With the nearest neighbours (Å) after each atom.
Element x y z (fractional)
Pm 0.2451 0.9951 0.9901  2 Pm 3.22, 6 Tm 3.35-3.50
Pm 0.7549 0.0049 0.0099  2 Pm 3.22, 6 Tm 3.35-3.50
Tm 0.9624 0.8432 0.2753  4 Tm 3.28-3.62, 2 Pm 3.50-3.65, 1 La 3.52
Tm 0.6311 0.1017 0.3894  4 Tm 3.28-3.44, 2 Pm 3.35-3.40
Tm 0.0376 0.1568 0.7247  4 Tm 3.28-3.62, 2 Pm 3.50-3.65, 1 La 3.52
Tm 0.7417 0.7124 0.6106  4 Tm 3.28-3.44, 2 Pm 3.35-3.40
Tm 0.1871 0.5679 0.7247  4 Tm 3.28-3.62, 2 Pm 3.50-3.65, 1 La 3.52
Tm 0.3689 0.8983 0.6106  4 Tm 3.28-3.44, 2 Pm 3.35-3.40
Tm 0.2583 0.2876 0.3894  4 Tm 3.28-3.44, 2 Pm 3.35-3.40
Tm 0.8129 0.4321 0.2753  4 Tm 3.28-3.62, 2 Pm 3.50-3.65, 1 La 3.52
La 0.3326 0.5826 0.1653  8 Tm 3.52-3.79
La 0.6674 0.4174 0.8347  8 Tm 3.52-3.79

Its spin magnetization is 0.00 μB/cell. The calculation puts the formation enthalpy at 0 K at 0.145 eV per atom. The calculation puts the energy relative to the lowest polymorph listed for this composition at 0.064 eV per atom.



2.
VASP calculation (PBE-GGA) on crystalline La4PmTm2 at its relaxed geometry.

Unit cell a=12.7353 b=12.7353 c=6.8973 alpha=96.98 beta=96.98 gamma=150.29
With the nearest neighbours (Å) after each atom.
Element x y z (fractional)
La 0.7947 0.1902 0.4091  4 La 3.41-3.75, 4 Tm 3.52-3.70, 2 Pm 3.73-3.80
La 0.1359 0.0311 0.0916  4 La 3.41-3.75, 4 Tm 3.52-3.70, 2 Pm 3.72-3.80
La 0.1777 0.7154 0.3665  5 La 3.41-3.70, 2 Tm 3.58-3.66, 2 Pm 3.64-3.72
La 0.7154 0.1777 0.8665  5 La 3.41-3.70, 2 Tm 3.58-3.66, 2 Pm 3.64-3.72
La 0.0311 0.1359 0.5916  4 La 3.41-3.75, 4 Tm 3.52-3.70, 2 Pm 3.72-3.80
La 0.5615 0.5989 0.1344  5 La 3.41-3.70, 2 Tm 3.58-3.66, 2 Pm 3.64-3.72
La 0.1902 0.7947 0.9091  4 La 3.41-3.75, 4 Tm 3.52-3.70, 2 Pm 3.73-3.80
La 0.5989 0.5615 0.6344  5 La 3.41-3.70, 2 Tm 3.58-3.66, 2 Pm 3.64-3.72
Tm 0.6254 0.3114 0.4532  2 Pm 3.48-3.65, 6 La 3.52-3.70, 2 Tm 3.67-3.68
Tm 0.1077 0.9220 0.5470  2 Pm 3.48-3.65, 6 La 3.52-3.70, 2 Tm 3.67-3.68
Tm 0.3114 0.6254 0.9532  2 Pm 3.48-3.65, 6 La 3.52-3.70, 2 Tm 3.67-3.68
Tm 0.9220 0.1077 0.0470  2 Pm 3.48-3.65, 6 La 3.52-3.70, 2 Tm 3.67-3.68
Pm 0.4196 0.6697 0.4998  4 Tm 3.48-3.65, 8 La 3.64-3.80
Pm 0.6697 0.4196 0.9998  4 Tm 3.48-3.65, 8 La 3.64-3.80

Its spin magnetization is 0.00 μB/cell. The calculation puts the formation enthalpy at 0 K at 0.072 eV per atom.



3.
VASP calculation (PBE-GGA) on crystalline LaPmTm2 at its relaxed geometry.

Unit cell a=5.5592 b=6.1336 c=9.9656 alpha=119.01 beta=90.00 gamma=90.00
With the nearest neighbours (Å) after each atom.
Element x y z (fractional)
Tm 0.5000 0.7899 0.1271  1 Tm 3.21, 2 Pm 3.22-3.54, 3 La 3.29-3.55
Tm 0.0000 0.8370 0.6003  3 La 3.27-3.61, 2 Tm 3.45-3.62, 2 Pm 3.51
Tm 0.0000 0.1630 0.3997  3 La 3.27-3.61, 2 Tm 3.45-3.62, 2 Pm 3.51
Tm 0.5000 0.2101 0.8729  1 Tm 3.21, 2 Pm 3.22-3.54, 3 La 3.29-3.55
Pm 0.5000 0.3894 0.2897  4 Tm 3.22-3.54, 1 La 3.29
Pm 0.5000 0.6106 0.7103  4 Tm 3.22-3.54, 1 La 3.29
La 0.0000 0.0000 0.0000  6 Tm 3.55-3.61, 4 Pm 3.88
La 0.5000 0.0000 0.5000  6 Tm 3.27-3.29, 2 Pm 3.29

Its spin magnetization is 0.00 μB/cell. The calculation puts the formation enthalpy at 0 K at 0.458 eV per atom. The calculation puts the energy relative to the lowest polymorph listed for this composition at 0.439 eV per atom.



4.
VASP calculation (PBE-GGA) on crystalline LaPm12Tm7 at its relaxed geometry.

Unit cell a=8.8351 b=8.8351 c=8.8351 alpha=98.21 beta=98.21 gamma=98.21
With the nearest neighbours (Å) after each atom.
Element x y z (fractional)
Pm 0.3589 0.0913 0.3589  6 Pm 3.41-3.60, 3 Tm 3.62-3.74
Pm 0.5000 0.2366 0.7635  6 Pm 3.41-3.60, 5 Tm 3.50-3.55
Pm 0.5000 0.7634 0.2365  6 Pm 3.41-3.60, 5 Tm 3.50-3.55
Pm 0.2365 0.5000 0.7634  6 Pm 3.41-3.60, 5 Tm 3.50-3.55
Pm 0.6411 0.9087 0.6411  6 Pm 3.41-3.60, 3 Tm 3.62-3.74
Pm 0.6411 0.6411 0.9087  6 Pm 3.41-3.60, 3 Tm 3.62-3.74
Pm 0.7634 0.2365 0.5000  6 Pm 3.41-3.60, 5 Tm 3.50-3.55
Pm 0.7635 0.5000 0.2366  6 Pm 3.41-3.60, 5 Tm 3.50-3.55
Pm 0.0913 0.3589 0.3589  6 Pm 3.41-3.60, 3 Tm 3.62-3.74
Pm 0.2366 0.7635 0.5000  6 Pm 3.41-3.60, 5 Tm 3.50-3.55
Pm 0.9087 0.6411 0.6411  6 Pm 3.41-3.60, 3 Tm 3.62-3.74
Pm 0.3589 0.3589 0.0913  6 Pm 3.41-3.60, 3 Tm 3.62-3.74
La 0.0000 0.0000 0.0000  6 Tm 3.46
Tm 0.3409 0.8990 0.8990  3 Tm 3.24-3.61, 1 La 3.46, 4 Pm 3.50-3.55
Tm 0.8990 0.3409 0.8990  3 Tm 3.24-3.61, 1 La 3.46, 4 Pm 3.50-3.55
Tm 0.8990 0.8990 0.3409  3 Tm 3.24-3.61, 1 La 3.46, 4 Pm 3.50-3.55
Tm 0.1010 0.1010 0.6591  3 Tm 3.24-3.61, 1 La 3.46, 4 Pm 3.50-3.55
Tm 0.6591 0.1010 0.1010  3 Tm 3.24-3.61, 1 La 3.46, 4 Pm 3.50-3.55
Tm 0.5000 0.5000 0.5000  12 Pm 3.52-3.62
Tm 0.1010 0.6591 0.1010  3 Tm 3.24-3.61, 1 La 3.46, 4 Pm 3.50-3.55

Its spin magnetization is 3.40 μB/cell. The calculation puts the formation enthalpy at 0 K at 0.097 eV per atom. The calculation puts the energy relative to the lowest polymorph listed for this composition at 0.000 eV per atom.



5.
VASP calculation (PBE-GGA) on crystalline La4Pm7Tm at its relaxed geometry.

Unit cell a=7.3553 b=9.7439 c=9.2030 alpha=81.19 beta=90.07 gamma=41.06
With the nearest neighbours (Å) after each atom.
Element x y z (fractional)
La 0.5286 0.7186 0.3295  8 Pm 3.63-3.74, 1 Tm 3.63, 3 La 3.68-3.73
La 0.7227 0.7783 0.6681  8 Pm 3.66-3.75, 4 La 3.67-3.73
La 0.4714 0.2814 0.6705  8 Pm 3.63-3.74, 1 Tm 3.63, 3 La 3.68-3.73
La 0.2773 0.2217 0.3319  8 Pm 3.66-3.75, 4 La 3.67-3.73
Pm 0.0314 0.7222 0.3258  1 Tm 3.60, 5 Pm 3.60-3.76, 6 La 3.63-3.75
Pm 0.9686 0.2778 0.6742  1 Tm 3.60, 5 Pm 3.60-3.76, 6 La 3.63-3.75
Pm 0.2176 0.7827 0.6711  1 Tm 3.62, 6 Pm 3.63-3.76, 5 La 3.67-3.74
Pm 0.5000 0.0000 0.0000  6 Pm 3.62-3.71, 4 La 3.65-3.66, 2 Tm 3.68
Pm 0.7487 0.4988 0.9995  7 Pm 3.60-3.71, 3 La 3.63-3.66, 2 Tm 3.67-3.69
Pm 0.7824 0.2173 0.3289  1 Tm 3.62, 6 Pm 3.63-3.76, 5 La 3.67-3.74
Pm 0.2513 0.5012 0.0005  7 Pm 3.60-3.71, 3 La 3.63-3.66, 2 Tm 3.67-3.69
Tm 0.0000 0.0000 0.0000  10 Pm 3.60-3.69, 2 La 3.63

Its spin magnetization is 0.00 μB/cell. The calculation puts the formation enthalpy at 0 K at 0.022 eV per atom. The calculation puts the energy relative to the lowest polymorph listed for this composition at 0.000 eV per atom.



6.
VASP calculation (PBE-GGA) on crystalline LaPmTm at its relaxed geometry.

Unit cell a=3.4868 b=8.9830 c=6.5515 alpha=90.00 beta=90.00 gamma=90.00
With the nearest neighbours (Å) after each atom.
Element x y z (fractional)
Tm 0.0000 0.5000 0.5000  4 Tm 3.28-3.49, 2 La 3.51, 4 Pm 3.59
Tm 0.0000 0.5000 0.0000  4 Tm 3.28-3.49, 2 La 3.51, 4 Pm 3.59
La 0.0000 0.8451 0.2500  2 La 3.49, 2 Tm 3.51, 6 Pm 3.64-3.73
La 0.0000 0.1549 0.7500  2 La 3.49, 2 Tm 3.51, 6 Pm 3.64-3.73
Pm 0.5000 0.2013 0.2500  2 Pm 3.49, 4 Tm 3.59, 6 La 3.64-3.73
Pm 0.5000 0.7987 0.7500  2 Pm 3.49, 4 Tm 3.59, 6 La 3.64-3.73

Its spin magnetization is 0.00 μB/cell. The calculation puts the formation enthalpy at 0 K at 0.171 eV per atom. The calculation puts the energy relative to the lowest polymorph listed for this composition at 0.137 eV per atom.



Record-wise Fermi-level density of states values, in states/eV per cell: 20.94 24.27 13.21 34.27 17.32 12.24
Record-wise calculated density values, in kg/m³: 8043 7064 6949 7631 6859 7329